## La3Si3Cl2 (GGA-PBEsol)

Data for an optimized crystal structure of La3Si3Cl2.

```
La3Si3Cl2
1.0
8.9558 -2.0896 0.0000
8.9558 2.0896 0.0000
-1.4477 0.0000 10.4663
La Si Cl
6 6 4
direct
0.0358 0.0358 0.3302
0.1166 0.1166 0.9907
0.1819 0.1819 0.6484
0.8181 0.8181 0.3516
0.8834 0.8834 0.0093
0.9642 0.9642 0.6698
0.4110 0.4110 0.2231
0.4354 0.4354 0.4499
0.4808 0.4808 0.8884
0.5192 0.5192 0.1116
0.5646 0.5646 0.5501
0.5890 0.5890 0.7769
0.2027 0.2027 0.3743
0.2731 0.2731 0.8920
0.7269 0.7269 0.1080
0.7973 0.7973 0.6257
```

Output
The calculation puts the energy at -6.014 eV per atom. As for the space-group type: C2/m.